[1]
DFT (PBE-GGA) results for a relaxed structure of TiCrCuS4.

Computed properties:
ΔE_f (raw) = -5.81 eV per formula unit
ΔE to the lowest computed polymorph = 73 meV per atom
Energy = -6.2762 eV/atom
Crystal system = monoclinic
Mass density = 4.1 g/cm3

Structure (CIF):
```
data_TiCrCuS4
_cell_length_a 5.8485
_cell_length_b 6.8723
_cell_length_c 5.9080
_cell_angle_alpha 90.00
_cell_angle_beta 92.24
_cell_angle_gamma 90.00
_space_group_name_H-M_alt 'P 1 2 1'
_space_group_IT_number 3
loop_
_space_group_symop_operation_xyz
'x,y,z'
'-x,y,-z'
loop_
_atom_site_label
_atom_site_type_symbol
_atom_site_fract_x
_atom_site_fract_y
_atom_site_fract_z
_atom_site_occupancy
Ti1 Ti 0.0000 0.0000 0.0000 1
Ti2 Ti 0.0000 0.2596 0.5000 1
Cr1 Cr 0.0000 0.4991 0.0000 1
Cr2 Cr 0.0000 0.7658 0.5000 1
Cu1 Cu 0.5000 0.2833 0.5000 1
Cu2 Cu 0.5000 0.7590 0.5000 1
S1 S 0.2323 0.7503 0.1768 1
S2 S 0.2382 0.5128 0.6770 1
S3 S 0.2412 0.2553 0.1730 1
S4 S 0.2490 0.0066 0.6747 1
```


[2]
DFT (PBE-GGA) results for a relaxed structure of GaPRuAu2S.

Computed properties:
ΔE_f (raw) = -0.09 eV per formula unit
ΔE to the lowest computed polymorph = 131 meV per atom
Energy = -4.7476 eV/atom
Crystal system = monoclinic
Mass density = 9.9 g/cm3

Structure (CIF):
```
data_GaPRuAu2S
_cell_length_a 10.6079
_cell_length_b 3.2537
_cell_length_c 7.8280
_cell_angle_alpha 90.00
_cell_angle_beta 128.72
_cell_angle_gamma 90.00
_space_group_name_H-M_alt 'C 1 m 1'
_space_group_IT_number 8
loop_
_space_group_symop_operation_xyz
'x,y,z'
'x,-y,z'
'x+1/2,y+1/2,z'
'x+1/2,-y+1/2,z'
loop_
_atom_site_label
_atom_site_type_symbol
_atom_site_fract_x
_atom_site_fract_y
_atom_site_fract_z
_atom_site_occupancy
Ga1 Ga 0.0000 0.0000 0.0000 1
P1 P 0.4110 0.0000 0.1852 1
Ru1 Ru 0.1148 0.0000 0.4121 1
Au1 Au 0.3026 0.5000 0.3229 1
Au2 Au 0.4777 0.0000 0.7251 1
S1 S 0.1904 0.5000 0.6807 1
```


[3]
DFT (PBE-GGA) results for a relaxed structure of SrSmTiO4.

Computed properties:
ΔE_f (raw) = -21.16 eV per formula unit
Energy = -7.8984 eV/atom
Crystal system = tetragonal
Mass density = 6.1 g/cm3

Structure (CIF):
```
data_SrSmTiO4
_cell_length_a 3.9109
_cell_length_b 3.9109
_cell_length_c 12.4726
_cell_angle_alpha 90.00
_cell_angle_beta 90.00
_cell_angle_gamma 90.00
_space_group_name_H-M_alt 'I 4 m m'
_space_group_IT_number 107
_space_group_name_Hall 'I 4 -2'
loop_
_atom_site_label
_atom_site_type_symbol
_atom_site_fract_x
_atom_site_fract_y
_atom_site_fract_z
_atom_site_occupancy
Sr1 Sr 0.0000 0.0000 0.0000 1
Sm1 Sm 0.0000 0.0000 0.7136 1
Ti1 Ti 0.0000 0.0000 0.3547 1
O1 O 0.0000 0.0000 0.1893 1
O2 O 0.0000 0.0000 0.5314 1
O3 O 0.0000 0.5000 0.3480 1
```


[4]
DFT (PBE-GGA) results for a relaxed structure of YTaAs2.

Computed properties:
ΔE to the lowest computed polymorph = 329 meV per atom
Energy = -7.3955 eV/atom
Crystal system = cubic
ΔH_f (0 K) = -0.49 eV/atom
Mass density = 9.0 g/cm3

Structure (CIF):
```
data_YTaAs2
_cell_length_a 6.7554
_cell_length_b 6.7554
_cell_length_c 6.7554
_cell_angle_alpha 90.00
_cell_angle_beta 90.00
_cell_angle_gamma 90.00
_space_group_name_H-M_alt 'F m -3 m'
_space_group_IT_number 225
_space_group_name_Hall '-F 4 2 3'
loop_
_atom_site_label
_atom_site_type_symbol
_atom_site_fract_x
_atom_site_fract_y
_atom_site_fract_z
_atom_site_occupancy
Y1 Y 0.0000 0.0000 0.0000 1
Ta1 Ta 0.0000 0.0000 0.5000 1
As1 As 0.2500 0.2500 0.2500 1
```


[5]
DFT (PBE-GGA) results for a relaxed structure of Ag2Sb2Se.

Computed properties:
ΔE_f (raw) = 0.81 eV per formula unit
ΔE to the lowest computed polymorph = 0 meV per atom
Energy = -3.3241 eV/atom
Crystal system = tetragonal
Mass density = 7.5 g/cm3

Structure (CIF):
```
data_Ag2Sb2Se
_cell_length_a 8.1129
_cell_length_b 8.1129
_cell_length_c 3.6288
_cell_angle_alpha 90.00
_cell_angle_beta 90.00
_cell_angle_gamma 90.00
_space_group_name_H-M_alt 'P 4/m b m'
_space_group_IT_number 127
_space_group_name_Hall '-P 4 2ab'
loop_
_atom_site_label
_atom_site_type_symbol
_atom_site_fract_x
_atom_site_fract_y
_atom_site_fract_z
_atom_site_occupancy
Ag1 Ag 0.1195 0.3805 0.0000 1
Sb1 Sb 0.1884 0.6884 0.5000 1
Se1 Se 0.0000 0.0000 0.5000 1
```


[6]
DFT (PBE-GGA) results for a relaxed structure of TcSbIr2.

Computed properties:
ΔE_f (raw) = 0.90 eV per formula unit
Energy = -7.8280 eV/atom
Crystal system = orthorhombic
Mass density = 15.4 g/cm3

Structure (CIF):
```
data_TcSbIr2
_cell_length_a 2.8926
_cell_length_b 3.8081
_cell_length_c 5.9220
_cell_angle_alpha 90.00
_cell_angle_beta 90.00
_cell_angle_gamma 90.00
_space_group_name_H-M_alt 'P m m 2'
_space_group_IT_number 25
loop_
_space_group_symop_operation_xyz
'x,y,z'
'-x,-y,z'
'-x,y,z'
'x,-y,z'
loop_
_atom_site_label
_atom_site_type_symbol
_atom_site_fract_x
_atom_site_fract_y
_atom_site_fract_z
_atom_site_occupancy
Tc1 Tc 0.0000 0.0000 0.0000 1
Sb1 Sb 0.5000 0.5000 0.7076 1
Ir1 Ir 0.0000 0.0000 0.4564 1
Ir2 Ir 0.5000 0.5000 0.2010 1
```